A relaxed TiTlInI6 crystal, computed with PBE.

The final energy is -0.2270 Ry per atom. The value obtained for the magnetic moment is 0.000 Bohr magnetons per cell.

The space group is C2 (No. 5) and the conventional cell measures 8.1279, 14.1010 and 6.9670 Å, with angles of 90.00, 90.02 and 90.00 degrees. The distinct sites, in fractional coordinates, are Ti at (0.0000, 0.0000, 0.0000), Tl at (0.0000, 0.6669, 0.0000), In at (0.0000, 0.3334, 0.5000), I at (0.1365, 0.1392, 0.7670), I at (0.1406, 0.8621, 0.7671) and I at (0.2220, 0.4987, 0.7673).